Entry 1:
Sm3HoSc2Te6 | GGA-PBE | optimized geometry

```
Sm3HoSc2Te6
1.0
9.4837 -2.1524 0.0000
9.4837 2.1524 0.0000
-2.1474 0.0000 8.4701
Sm Ho Sc Te
3 1 2 6
Cartesian
0.0000 0.0000 0.0000
4.9599 0.0000 5.6888
11.8602 0.0000 2.7814
-1.0737 0.0000 4.2351
5.9629 0.0000 1.4180
10.8571 0.0000 7.0521
1.8831 0.0000 5.0501
3.1090 0.0000 0.5918
8.8044 0.0000 2.1392
8.0157 0.0000 6.3310
13.7110 0.0000 7.8783
14.9369 0.0000 3.4201
```

Properties
Uncorrected formation energy ... -1.262 eV/atom
E ... -5.4493 eV per atom
Volume ... 28.8 Å³ per atom


Entry 2:
BePb2Br | GGA-PBE | optimized geometry

```
BePb2Br
1.0
8.3544 0.0000 0.0000
0.0000 8.2227 0.0000
-0.9011 0.0000 3.2798
Be Pb Br
2 4 2
Cartesian
0.0000 0.0000 0.0000
4.1772 4.1114 0.0000
2.0886 2.0557 0.0000
2.0886 6.1671 0.0000
6.2658 2.0557 0.0000
6.2658 6.1671 0.0000
0.0000 4.1114 0.0000
4.1772 0.0000 0.0000
```

Properties
Uncorrected formation energy ... 0.317 eV/atom
E ... -2.8865 eV per atom
Volume ... 28.2 Å³ per atom
Relative energy among the computed polymorphs ... 206 meV/atom